(1)
A relaxed TlTeP2Cl crystal, computed with PBE-GGA.

Calculated values
crystal system	tetragonal

abc: 5.218 5.218 5.067
angles: 90.00 90.00 90.00
Space group P4/mmm (No. 123)
Inequivalent atoms, fractional coordinates:
Tl (0.000, 0.000, 0.000) (multiplicity 1)
Te (0.500, 0.500, 0.500) (multiplicity 1)
P (0.000, 0.500, 0.000) (multiplicity 2)
Cl (0.000, 0.000, 0.500) (multiplicity 1)

(2)
A relaxed BaSi2SnBr crystal, computed with PBE-GGA.

Calculated values
crystal system	tetragonal

abc: 5.755 5.755 6.774
angles: 90.00 90.00 90.00
Space group P4/mmm (No. 123)
Inequivalent atoms, fractional coordinates:
Ba (0.000, 0.000, 0.000) (multiplicity 1)
Si (0.000, 0.500, 0.000) (multiplicity 2)
Sn (0.000, 0.000, 0.500) (multiplicity 1)
Br (0.500, 0.500, 0.500) (multiplicity 1)

Q: Which energy relative to the elements, uncorrected values were calculated for the entries above? A: 0.8944, 1.3454, in eV per atom.
Q: Which ρ values were calculated for the entries above? A: 5.2, 2.9, in g/cm3.
Q: Which total DFT energy (no corrections) values were calculated for the entries above? A: -13.702, -11.718, in eV for the cell shown.